DFT (PBE-GGA) results for crystalline EuNi4Pb at its relaxed geometry.

Computed properties:
Formation enthalpy at 0 K (eV per formula unit): -0.62

a b c (Å): 5.098 5.098 5.098
angles (deg): 60.00 60.00 60.00
Each line ends with the local moment (μB).
Fractional coordinates of all 6 atoms:
Ni 0.626 0.626 0.626  -0.01
Ni 0.626 0.626 0.123  -0.01
Ni 0.123 0.626 0.626  -0.01
Ni 0.626 0.123 0.626  -0.01
Pb 0.000 0.000 0.000  0.01
Eu 0.250 0.250 0.250  6.68

DFT (PBE-GGA) results for crystalline EuNiPdPb at its relaxed geometry.

Computed properties:
Formation enthalpy at 0 K (eV per formula unit): -0.95

a b c (Å): 4.878 4.878 4.878
angles (deg): 60.00 60.00 60.00
Each line ends with the local moment (μB).
Fractional coordinates of all 4 atoms:
Pb 0.000 0.000 0.000  0.00
Pd 0.250 0.250 0.250  0.00
Ni 0.750 0.750 0.750  -0.02
Eu 0.500 0.500 0.500  6.72